No. 1
# NaHgNO2

Crystalline NaHgNO2 at its relaxed geometry (PBE, Alexandria).

Values from the calculation:
Magnetization (μB per formula unit): 2.45
Total energy (eV per formula unit): -16.4
Space-group type: P4/mmm (123)
Crystal system: tetragonal

The structure in extended XYZ format:
```
5
Lattice="4.3520 0.0000 0.0000 0.0000 4.3520 0.0000 0.0000 0.0000 4.2582" Properties=species:S:1:pos:R:3 pbc="T T T"
Na 0.0000 0.0000 0.0000
Hg 2.1760 2.1760 2.1291
N 2.1760 2.1760 0.0000
O 0.0000 2.1760 2.1291
O 2.1760 0.0000 2.1291
```

---

No. 2
# NaPa4HgN8

Crystalline NaPa4HgN8 at its relaxed geometry (PBE, Alexandria).

Values from the calculation:
Magnetization (μB per formula unit): 0.00
Total energy (eV per formula unit): -120.0
Space-group type: R3m (160)
Crystal system: trigonal

The structure in extended XYZ format:
```
14
Lattice="3.5850 2.0698 5.5503 -3.5850 2.0698 5.5503 0.0000 -4.1396 5.5503" Properties=species:S:1:pos:R:3 pbc="T T T"
Na 0.0000 0.0000 0.0000
Pa 0.0000 -2.0228 2.7637
Pa -1.7518 1.0114 2.7637
Pa 0.0000 0.0000 7.6443
Pa 1.7518 1.0114 2.7637
Hg 0.0000 0.0000 10.7138
N 0.0000 0.0000 3.7090
N -1.6822 -0.9712 9.0992
N 0.0000 -2.1992 7.1953
N -1.9046 1.0996 7.1953
N 1.6822 -0.9712 9.0992
N 0.0000 1.9424 9.0992
N 0.0000 0.0000 12.8586
N 1.9046 1.0996 7.1953
```

---

No. 3
# Na2HgRuN

Crystalline Na2HgRuN at its relaxed geometry (PBE, Alexandria).

Values from the calculation:
Magnetization (μB per formula unit): 0.00
Total energy (eV per formula unit): -20.2
Space-group type: P4/mmm (123)
Crystal system: tetragonal

The structure in extended XYZ format:
```
5
Lattice="4.9385 0.0000 0.0000 0.0000 4.9385 0.0000 0.0000 0.0000 3.7851" Properties=species:S:1:pos:R:3 pbc="T T T"
Na 0.0000 2.4692 0.0000
Na 2.4692 0.0000 0.0000
Hg 0.0000 0.0000 1.8925
Ru 2.4692 2.4692 1.8925
N 2.4692 2.4692 0.0000
```

---

No. 4
# NaHgS2N

Crystalline NaHgS2N at its relaxed geometry (PBE, Alexandria).

Values from the calculation:
Magnetization (μB per formula unit): 2.97
Total energy (eV per formula unit): -13.9
Space-group type: P4/mmm (123)
Crystal system: tetragonal

The structure in extended XYZ format:
```
5
Lattice="5.2086 0.0000 0.0000 0.0000 5.2086 0.0000 0.0000 0.0000 4.3102" Properties=species:S:1:pos:R:3 pbc="T T T"
Na 0.0000 0.0000 0.0000
Hg 2.6043 2.6043 2.1551
S 0.0000 2.6043 2.1551
S 2.6043 0.0000 2.1551
N 2.6043 2.6043 0.0000
```

---

no.,raw formation energy (kcal/mol of atoms)
1,16.1
2,-22.8
3,1.7
4,20.0